The following is a PBE calculation of a relaxed structure of KNiSe2, from the Alexandria database.

Cell and atoms, written as CIF:
```
data_KNiSe2
_symmetry_space_group_name_H-M 'F -4 3 m'
_symmetry_Int_Tables_number 216
_symmetry_space_group_name_Hall 'F -4 2 3'
_cell_length_a 7.0258
_cell_length_b 7.0258
_cell_length_c 7.0258
_cell_angle_alpha 90.00
_cell_angle_beta 90.00
_cell_angle_gamma 90.00
loop_
_atom_site_label
_atom_site_type_symbol
_atom_site_fract_x
_atom_site_fract_y
_atom_site_fract_z
K1 K 0.0000 0.0000 0.0000
Ni1 Ni 0.2500 0.2500 0.7500
Se1 Se 0.0000 0.0000 0.5000
Se2 Se 0.2500 0.2500 0.2500
```

Properties
N(E_F) (states/eV/f.u.): 4.95
Raw total energy (eV/atom): -3.017

***

The following is a PBE calculation of a relaxed structure of KNiSe2, from the Alexandria database.

Cell and atoms, written as CIF:
```
data_KNiSe2
_symmetry_space_group_name_H-M 'P 4/m m m'
_symmetry_Int_Tables_number 123
_symmetry_space_group_name_Hall '-P 4 2'
_cell_length_a 3.2271
_cell_length_b 3.2271
_cell_length_c 7.9670
_cell_angle_alpha 90.00
_cell_angle_beta 90.00
_cell_angle_gamma 90.00
loop_
_atom_site_label
_atom_site_type_symbol
_atom_site_fract_x
_atom_site_fract_y
_atom_site_fract_z
K1 K 0.0000 0.0000 0.0000
Ni1 Ni 0.0000 0.0000 0.5000
Se1 Se 0.5000 0.5000 0.3132
```

Properties
N(E_F) (states/eV/f.u.): 3.73
Raw total energy (eV/atom): -3.580

***

The following is a PBE calculation of a relaxed structure of KNi3Se3, from the Alexandria database.

Cell and atoms, written as CIF:
```
data_KNi3Se3
_symmetry_space_group_name_H-M 'P 63/m'
_symmetry_Int_Tables_number 176
_symmetry_space_group_name_Hall '-P 6c'
_cell_length_a 8.8470
_cell_length_b 8.8470
_cell_length_c 4.3738
_cell_angle_alpha 90.00
_cell_angle_beta 90.00
_cell_angle_gamma 120.00
loop_
_atom_site_label
_atom_site_type_symbol
_atom_site_fract_x
_atom_site_fract_y
_atom_site_fract_z
K1 K 0.3333 0.6667 0.2500
Ni1 Ni 0.0376 0.8349 0.2500
Se1 Se 0.0610 0.7313 0.7500
```

Properties
N(E_F) (states/eV/f.u.): 2.15
Raw total energy (eV/atom): -4.629

***

The following is a PBE calculation of a relaxed structure of K2Ni2Se, from the Alexandria database.

Cell and atoms, written as CIF:
```
data_K2Ni2Se
_symmetry_space_group_name_H-M 'P 4/m b m'
_symmetry_Int_Tables_number 127
_symmetry_space_group_name_Hall '-P 4 2ab'
_cell_length_a 9.5589
_cell_length_b 9.5589
_cell_length_c 2.8129
_cell_angle_alpha 90.00
_cell_angle_beta 90.00
_cell_angle_gamma 90.00
loop_
_atom_site_label
_atom_site_type_symbol
_atom_site_fract_x
_atom_site_fract_y
_atom_site_fract_z
K1 K 0.2026 0.2974 0.0000
Ni1 Ni 0.0802 0.5802 0.5000
Se1 Se 0.0000 0.0000 0.0000
```

Properties
N(E_F) (states/eV/f.u.): 7.32
Raw total energy (eV/atom): -2.906